A relaxed structure of BaCuTe. Source: the Alexandria database, functional PBEsol.

abc: 7.021 7.021 7.021
angles: 90.00 90.00 90.00
Positions (direct):
Ba (0.000, 0.000, 0.000)
Ba (0.000, 0.500, 0.500)
Ba (0.500, 0.000, 0.500)
Ba (0.500, 0.500, 0.000)
Cu (0.250, 0.250, 0.750)
Cu (0.250, 0.750, 0.250)
Cu (0.750, 0.250, 0.250)
Cu (0.750, 0.750, 0.750)
Te (0.000, 0.000, 0.500)
Te (0.000, 0.500, 0.000)
Te (0.500, 0.000, 0.000)
Te (0.500, 0.500, 0.500)

- Relative energy among the computed polymorphs: 0.0 meV/atom
- Crystal system: cubic
- E_form (uncorrected): -1.58 eV/f.u.
- VASP energy: -11.59 eV per formula unit

=====

A relaxed structure of BaCuTe2. Source: the Alexandria database, functional PBEsol.

abc: 7.678 7.678 7.678
angles: 90.00 90.00 90.00
Positions (direct):
Ba (0.000, 0.000, 0.000)
Ba (0.000, 0.500, 0.500)
Ba (0.500, 0.000, 0.500)
Ba (0.500, 0.500, 0.000)
Cu (0.250, 0.250, 0.250)
Cu (0.250, 0.750, 0.750)
Cu (0.750, 0.250, 0.750)
Cu (0.750, 0.750, 0.250)
Te (0.000, 0.000, 0.500)
Te (0.000, 0.500, 0.000)
Te (0.250, 0.250, 0.750)
Te (0.250, 0.750, 0.250)
Te (0.500, 0.000, 0.000)
Te (0.500, 0.500, 0.500)
Te (0.750, 0.250, 0.250)
Te (0.750, 0.750, 0.750)

- Crystal system: cubic
- E_form (uncorrected): -0.78 eV/f.u.
- VASP energy: -14.32 eV per formula unit

=====

A relaxed structure of BaCu3Te. Source: the Alexandria database, functional PBEsol.

abc: 5.197 5.197 5.197
angles: 90.00 90.00 90.00
Positions (direct):
Ba (0.000, 0.000, 0.000)
Cu (0.000, 0.000, 0.500)
Cu (0.000, 0.500, 0.000)
Cu (0.500, 0.000, 0.000)
Te (0.500, 0.500, 0.500)

- Crystal system: cubic
- E_form (uncorrected): 7.14 eV/f.u.
- VASP energy: -11.54 eV per formula unit

=====

A relaxed structure of Ba3TlCu. Source: the Alexandria database, functional PBEsol.

abc: 6.007 6.007 6.007
angles: 90.00 90.00 90.00
Positions (direct):
Ba (0.000, 0.000, 0.500)
Ba (0.000, 0.500, 0.000)
Ba (0.500, 0.000, 0.000)
Tl (0.500, 0.500, 0.500)
Cu (0.000, 0.000, 0.000)

- Energy of formation: 67 meV/atom
- Crystal system: cubic
- VASP energy: -13.08 eV per formula unit

=====

A relaxed structure of BaCuW2. Source: the Alexandria database, functional PBEsol.

abc: 3.305 3.305 7.456
angles: 90.00 90.00 90.00
Positions (direct):
Ba (0.000, 0.000, 0.000)
Cu (0.000, 0.000, 0.500)
W (0.500, 0.500, 0.345)
W (0.500, 0.500, 0.655)

- Energy of formation: 1059 meV/atom
- Relative energy among the computed polymorphs: 0.0 meV/atom
- Crystal system: tetragonal
- VASP energy: -29.86 eV per formula unit

=====

A relaxed structure of BaCuW2. Source: the Alexandria database, functional PBEsol.

abc: 3.905 3.905 5.190
angles: 90.00 90.00 90.00
Positions (direct):
Ba (0.000, 0.000, 0.000)
Cu (0.500, 0.500, 0.000)
W (0.000, 0.500, 0.500)
W (0.500, 0.000, 0.500)

- Energy of formation: 1526 meV/atom
- Relative energy among the computed polymorphs: 467.0 meV/atom
- Crystal system: tetragonal
- VASP energy: -27.99 eV per formula unit

=====

A relaxed structure of BaCuW2. Source: the Alexandria database, functional PBEsol.

abc: 6.687 6.687 6.687
angles: 90.00 90.00 90.00
Positions (direct):
Ba (0.000, 0.000, 0.000)
Ba (0.000, 0.500, 0.500)
Ba (0.500, 0.000, 0.500)
Ba (0.500, 0.500, 0.000)
Cu (0.250, 0.250, 0.250)
Cu (0.250, 0.750, 0.750)
Cu (0.750, 0.250, 0.750)
Cu (0.750, 0.750, 0.250)
W (0.000, 0.000, 0.500)
W (0.000, 0.500, 0.000)
W (0.250, 0.250, 0.750)
W (0.250, 0.750, 0.250)
W (0.500, 0.000, 0.000)
W (0.500, 0.500, 0.500)
W (0.750, 0.250, 0.250)
W (0.750, 0.750, 0.750)

- Energy of formation: 1321 meV/atom
- Relative energy among the computed polymorphs: 261.9 meV/atom
- Crystal system: cubic
- VASP energy: -28.81 eV per formula unit

=====

A relaxed structure of BaCu2W. Source: the Alexandria database, functional PBEsol.

abc: 8.245 2.979 6.623
angles: 90.00 97.42 90.00
Positions (direct):
Ba (0.000, 0.000, 0.000)
Ba (0.500, 0.500, 0.000)
Cu (0.266, 0.500, 0.332)
Cu (0.488, 0.000, 0.487)
Cu (0.766, 0.000, 0.332)
Cu (0.988, 0.500, 0.487)
W (0.225, 0.000, 0.627)
W (0.725, 0.500, 0.627)

- Energy of formation: 830 meV/atom
- Relative energy among the computed polymorphs: 213.6 meV/atom
- Crystal system: monoclinic
- VASP energy: -21.30 eV per formula unit